A plane-wave DFT calculation with GGA-PBEsol was carried out for crystalline CaAl2Hg at its relaxed geometry.

```
CaAl2Hg
1.0
3.354 0.000 0.000
0.000 4.643 0.000
0.000 0.000 5.642
Ca Al Hg
1 2 1
Direct
0.000 0.000 0.000
0.500 0.000 0.492
0.500 0.500 0.253
0.500 0.500 0.757
```

Results
calculated formation energy	-190	meV/atom
space-group type	Pmm2, No. 25
E_tot	-2.9103	eV per atom
theoretical density	5.569	g/cm3